K2ReIr | PBE | relaxed

As for the polymorph energy (0 for the lowest one): 1077 meV/atom.

a = 4.908 Å, b = 4.908 Å, c = 4.908 Å
α = 60.00°, β = 60.00°, γ = 60.00°
Sites, in units of the cell vectors:
Re1 0.750 0.750 0.750
K1 0.250 0.250 0.250
Ir1 0.500 0.500 0.500
K2 0.000 0.000 0.000



NdHoEr2Tm6 | PBE | relaxed

The electronic total energy is -4.4060 eV per atom.

a = 9.380 Å, b = 8.699 Å, c = 8.699 Å
α = 117.62°, β = 93.28°, γ = 93.28°
Sites, in units of the cell vectors:
Tm1 0.682 0.018 0.565
Er1 0.048 0.306 0.199
Nd1 0.250 0.973 0.027
Tm2 0.442 0.248 0.875
Ho1 0.750 0.590 0.410
Nd2 0.750 0.027 0.973
Tm3 0.883 0.290 0.510
Tm4 0.942 0.875 0.248
Tm5 0.182 0.565 0.018
Er2 0.452 0.801 0.694
Er3 0.952 0.694 0.801
Tm6 0.117 0.710 0.490
Tm7 0.558 0.752 0.125
Tm8 0.818 0.435 0.982
Tm9 0.617 0.490 0.710
Tm10 0.058 0.125 0.752
Tm11 0.383 0.510 0.290
Ho2 0.250 0.410 0.590
Er4 0.548 0.199 0.306
Tm12 0.318 0.982 0.435



Sm12Pd3O5 | PBE | relaxed

The calculation puts the raw formation energy at -1.562 eV/atom.

a = 13.514 Å, b = 13.514 Å, c = 13.514 Å
α = 109.47°, β = 109.47°, γ = 109.47°
Sites, in units of the cell vectors:
O1 0.625 0.875 0.250
O2 0.000 0.000 0.000
O3 0.500 0.500 0.500
Sm1 0.315 0.519 0.405
Pd1 0.375 0.750 0.625
Sm2 0.905 0.815 0.519
Sm3 0.405 0.386 0.590
Sm4 0.595 0.981 0.685
Sm5 0.886 0.296 0.481
O4 0.750 0.125 0.875
Pd2 0.375 0.625 0.250
O5 0.125 0.750 0.375
Sm6 0.095 0.910 0.114
Sm7 0.315 0.796 0.410
O6 0.500 0.500 0.000
O7 0.375 0.125 0.750
Sm8 0.519 0.315 0.905
Pd3 0.625 0.250 0.375
Sm9 0.481 0.685 0.095
O8 0.500 0.000 0.500
Sm10 0.410 0.296 0.315
O9 0.750 0.625 0.375
O10 0.000 0.500 0.500
Sm11 0.905 0.090 0.886
Pd4 0.750 0.375 0.125
Sm12 0.590 0.886 0.405
Sm13 0.204 0.685 0.090
Pd5 0.250 0.625 0.875
O11 0.250 0.875 0.125
O12 0.875 0.625 0.750
Sm14 0.090 0.905 0.386
Sm15 0.595 0.614 0.410
Sm16 0.019 0.405 0.815
Sm17 0.815 0.905 0.019
Sm18 0.386 0.405 0.090
Sm19 0.910 0.815 0.796
Sm20 0.704 0.114 0.019
Sm21 0.796 0.315 0.910
O13 0.250 0.375 0.625
Sm22 0.590 0.704 0.685
O14 0.375 0.250 0.125
O15 0.000 0.500 0.000
Sm23 0.981 0.595 0.185
Sm24 0.685 0.481 0.595
Pd6 0.750 0.875 0.625
Sm25 0.296 0.410 0.815
Sm26 0.685 0.204 0.590
Sm27 0.481 0.796 0.886
Sm28 0.296 0.886 0.981
Pd7 0.125 0.250 0.875
Sm29 0.910 0.095 0.614
Sm30 0.886 0.590 0.905
O16 0.875 0.250 0.625
Sm31 0.185 0.090 0.704
Sm32 0.405 0.019 0.315
Sm33 0.204 0.519 0.614
Sm34 0.704 0.590 0.185
Pd8 0.625 0.375 0.750
Sm35 0.815 0.910 0.296
Pd9 0.875 0.125 0.250
Sm36 0.981 0.386 0.296
Sm37 0.019 0.614 0.704
Sm38 0.095 0.185 0.481
Sm39 0.185 0.095 0.981
Sm40 0.519 0.204 0.114
Sm41 0.614 0.019 0.204
O17 0.000 0.000 0.500
Pd10 0.125 0.875 0.750
Sm42 0.410 0.114 0.595
Sm43 0.114 0.704 0.519
Sm44 0.796 0.481 0.386
Sm45 0.386 0.981 0.796
O18 0.125 0.375 0.250
O19 0.500 0.000 0.000
Sm46 0.114 0.410 0.095
O20 0.625 0.750 0.875
Sm47 0.614 0.595 0.910
Pd11 0.250 0.125 0.375
Pd12 0.875 0.750 0.125
Sm48 0.090 0.185 0.204



K2RbHg9 | PBE | relaxed

The electronic total energy is -0.6927 eV per atom.

a = 6.401 Å, b = 6.401 Å, c = 11.366 Å
α = 73.64°, β = 73.64°, γ = 60.00°
Sites, in units of the cell vectors:
Hg1 0.076 0.590 0.744
Hg2 0.500 0.500 0.500
K1 0.857 0.857 0.428
Rb1 0.000 0.000 0.000
Hg3 0.410 0.410 0.256
Hg4 0.337 0.337 0.989
Hg5 0.590 0.590 0.744
Hg6 0.663 0.663 0.011
Hg7 0.924 0.410 0.256
Hg8 0.590 0.076 0.744
Hg9 0.410 0.924 0.256
K2 0.143 0.143 0.572



RbReMoRh2 | PBE | relaxed

The electronic total energy is -5.7390 eV per atom.

a = 4.762 Å, b = 5.425 Å, c = 4.762 Å
α = 90.00°, β = 90.00°, γ = 90.00°
Sites, in units of the cell vectors:
Rh1 0.000 0.000 0.500
Re1 0.000 0.000 0.000
Rb1 0.000 0.500 0.000
Rh2 0.500 0.000 0.000
Mo1 0.500 0.500 0.500



TiSbAu2 | PBE | relaxed

The calculation puts the raw formation energy at -0.065 eV/atom.

a = 4.266 Å, b = 4.266 Å, c = 5.868 Å
α = 68.68°, β = 68.68°, γ = 60.00°
Sites, in units of the cell vectors:
Ti1 0.000 0.000 0.000
Au1 0.743 0.743 0.771
Sb1 0.500 0.500 0.500
Au2 0.257 0.257 0.229



Sc3Cd2Au3 | PBE | relaxed

The electronic total energy is -4.4120 eV per atom.

a = 3.481 Å, b = 4.814 Å, c = 10.143 Å
α = 103.73°, β = 99.88°, γ = 90.00°
Sites, in units of the cell vectors:
Au1 0.116 0.116 0.232
Cd1 0.261 0.761 0.521
Au2 0.884 0.884 0.768
Cd2 0.739 0.239 0.479
Sc1 0.624 0.624 0.247
Sc2 0.500 0.000 0.000
Au3 0.000 0.500 0.000
Sc3 0.376 0.376 0.753



HfSe2Br4 | PBE | relaxed

The calculation puts the raw formation energy at -0.872 eV/atom.

a = 3.952 Å, b = 6.786 Å, c = 10.521 Å
α = 100.30°, β = 100.83°, γ = 90.00°
Sites, in units of the cell vectors:
Br1 0.103 0.847 0.205
Hf1 0.000 0.000 0.000
Br2 0.897 0.153 0.795
Br3 0.551 0.254 0.103
Br4 0.449 0.746 0.897
Se1 0.247 0.402 0.494
Se2 0.753 0.598 0.506



YW2Se | PBE | relaxed

The calculation puts the raw formation energy at 0.656 eV/atom.

a = 5.474 Å, b = 5.474 Å, c = 3.013 Å
α = 90.00°, β = 90.00°, γ = 121.19°
Sites, in units of the cell vectors:
Y1 0.500 0.000 0.500
W1 0.000 0.000 0.000
Se1 0.000 0.500 0.500
W2 0.500 0.500 0.000



ThZn4Pb | PBE | relaxed

The electronic total energy is -2.7240 eV per atom.

a = 5.613 Å, b = 5.613 Å, c = 5.613 Å
α = 60.00°, β = 60.00°, γ = 60.00°
Sites, in units of the cell vectors:
Zn1 0.625 0.625 0.125
Th1 0.250 0.250 0.250
Zn2 0.125 0.625 0.625
Pb1 0.000 0.000 0.000
Zn3 0.625 0.625 0.625
Zn4 0.625 0.125 0.625



YGaI3 | PBE | relaxed

The calculation puts the raw formation energy at -0.108 eV/atom. As for the polymorph energy (0 for the lowest one): 539 meV/atom.

a = 5.703 Å, b = 5.703 Å, c = 5.703 Å
α = 90.00°, β = 90.00°, γ = 90.00°
Sites, in units of the cell vectors:
I1 0.000 0.000 0.500
Y1 0.500 0.500 0.500
Ga1 0.000 0.000 0.000
I2 0.500 0.000 0.000
I3 0.000 0.500 0.000



Cs3Tl2H3Au2 | PBE | relaxed

The electronic total energy is -2.4511 eV per atom.

a = 5.384 Å, b = 5.384 Å, c = 12.537 Å
α = 102.40°, β = 102.40°, γ = 90.00°
Sites, in units of the cell vectors:
H1 0.500 0.500 0.000
Cs1 0.633 0.633 0.266
Au1 0.250 0.750 0.500
Cs2 0.000 0.000 0.000
Cs3 0.367 0.367 0.734
Tl1 0.207 0.207 0.414
Tl2 0.793 0.793 0.586
H2 0.121 0.121 0.242
H3 0.879 0.879 0.758
Au2 0.750 0.250 0.500